[1]
# GGA-PBE CePmCd14, optimized geometry
data_CePmCd14
_chemical_formula_sum 'Ce1 Pm1 Cd14'
_symmetry_space_group_name_H-M 'P 4/m m m'
_symmetry_Int_Tables_number 123
_symmetry_space_group_name_Hall '-P 4 2'
_cell_length_a 6.718
_cell_length_b 6.718
_cell_length_c 8.397
_cell_angle_alpha 90.00
_cell_angle_beta 90.00
_cell_angle_gamma 90.00
loop_
_atom_site_label
_atom_site_type_symbol
_atom_site_fract_x
_atom_site_fract_y
_atom_site_fract_z
_atom_site_occupancy
Ce1 Ce 0.000 0.000 0.000 1
Pm1 Pm 0.500 0.500 0.000 1
Cd1 Cd 0.000 0.000 0.500 1
Cd2 Cd 0.000 0.500 0.000 1
Cd3 Cd 0.000 0.500 0.500 1
Cd4 Cd 0.251 0.251 0.263 1
Cd5 Cd 0.500 0.500 0.500 1
# Formation energy = -12.2 kJ per mole of atoms

=====

[2]
# GGA-PBE PRhSe3, optimized geometry
data_PRhSe3
_chemical_formula_sum 'P1 Rh1 Se3'
_symmetry_space_group_name_H-M 'P m -3 m'
_symmetry_Int_Tables_number 221
_symmetry_space_group_name_Hall '-P 4 2 3'
_cell_length_a 4.837
_cell_length_b 4.837
_cell_length_c 4.837
_cell_angle_alpha 90.00
_cell_angle_beta 90.00
_cell_angle_gamma 90.00
loop_
_atom_site_label
_atom_site_type_symbol
_atom_site_fract_x
_atom_site_fract_y
_atom_site_fract_z
_atom_site_occupancy
P1 P 0.000 0.000 0.000 1
Rh1 Rh 0.500 0.500 0.500 1
Se1 Se 0.000 0.500 0.500 1
# ΔE_f (raw) = 0.742 eV per atom
# Polymorph energy (0 for the lowest one) = 0 meV/atom

=====

[3]
# GGA-PBE La2ErSe3, optimized geometry
data_La2ErSe3
_chemical_formula_sum 'La8 Er4 Se12'
_symmetry_space_group_name_H-M 'C 1 2/m 1'
_symmetry_Int_Tables_number 12
_cell_length_a 7.278
_cell_length_b 12.641
_cell_length_c 7.355
_cell_angle_alpha 90.00
_cell_angle_beta 109.42
_cell_angle_gamma 90.00
loop_
_symmetry_equiv_pos_as_xyz
'x,y,z'
'-x,-y,-z'
'-x,y,-z'
'x,-y,z'
'x+1/2,y+1/2,z'
'-x+1/2,-y+1/2,-z'
'-x+1/2,y+1/2,-z'
'x+1/2,-y+1/2,z'
loop_
_atom_site_label
_atom_site_type_symbol
_atom_site_fract_x
_atom_site_fract_y
_atom_site_fract_z
_atom_site_occupancy
La1 La 0.000 0.000 0.000 1
La2 La 0.000 0.161 0.500 1
La3 La 0.000 0.500 0.500 1
Er1 Er 0.000 0.333 0.000 1
Se1 Se 0.229 0.500 0.230 1
Se2 Se 0.248 0.327 0.764 1
# ΔE_f (raw) = -1.900 eV per atom

=====

[4]
# GGA-PBE K2Hg2PbSe4, optimized geometry
data_K2Hg2PbSe4
_chemical_formula_sum 'K4 Hg4 Pb2 Se8'
_symmetry_space_group_name_H-M 'C 1 2/m 1'
_symmetry_Int_Tables_number 12
_cell_length_a 16.693
_cell_length_b 4.417
_cell_length_c 8.002
_cell_angle_alpha 90.00
_cell_angle_beta 109.35
_cell_angle_gamma 90.00
loop_
_symmetry_equiv_pos_as_xyz
'x,y,z'
'-x,-y,-z'
'-x,y,-z'
'x,-y,z'
'x+1/2,y+1/2,z'
'-x+1/2,-y+1/2,-z'
'-x+1/2,y+1/2,-z'
'x+1/2,-y+1/2,z'
loop_
_atom_site_label
_atom_site_type_symbol
_atom_site_fract_x
_atom_site_fract_y
_atom_site_fract_z
_atom_site_occupancy
K1 K 0.125 0.000 0.054 1
Hg1 Hg 0.166 0.500 0.496 1
Pb1 Pb 0.000 0.000 0.500 1
Se1 Se 0.020 0.500 0.239 1
Se2 Se 0.208 0.000 0.706 1
# ΔE_f (raw) = -0.632 eV per atom

=====

[5]
# GGA-PBE Th6RuAu, optimized geometry
data_Th6RuAu
_chemical_formula_sum 'Th12 Ru2 Au2'
_symmetry_space_group_name_H-M 'I 4/m m m'
_symmetry_Int_Tables_number 139
_symmetry_space_group_name_Hall '-I 4 2'
_cell_length_a 5.199
_cell_length_b 5.199
_cell_length_c 16.699
_cell_angle_alpha 90.00
_cell_angle_beta 90.00
_cell_angle_gamma 90.00
loop_
_atom_site_label
_atom_site_type_symbol
_atom_site_fract_x
_atom_site_fract_y
_atom_site_fract_z
_atom_site_occupancy
Th1 Th 0.000 0.000 0.247 1
Th2 Th 0.000 0.500 0.105 1
Ru1 Ru 0.000 0.000 0.000 1
Au1 Au 0.000 0.000 0.500 1
# Formation energy = -22.7 kJ per mole of atoms

=====

[6]
# GGA-PBE RbSeBr2, optimized geometry
data_RbSeBr2
_chemical_formula_sum 'Rb4 Se4 Br8'
_symmetry_space_group_name_H-M 'F m -3 m'
_symmetry_Int_Tables_number 225
_symmetry_space_group_name_Hall '-F 4 2 3'
_cell_length_a 8.084
_cell_length_b 8.084
_cell_length_c 8.084
_cell_angle_alpha 90.00
_cell_angle_beta 90.00
_cell_angle_gamma 90.00
loop_
_atom_site_label
_atom_site_type_symbol
_atom_site_fract_x
_atom_site_fract_y
_atom_site_fract_z
_atom_site_occupancy
Rb1 Rb 0.000 0.000 0.000 1
Se1 Se 0.000 0.000 0.500 1
Br1 Br 0.250 0.250 0.250 1
# ΔE_f (raw) = -0.374 eV per atom
# Polymorph energy (0 for the lowest one) = 274 meV/atom